Record 1
A plane-wave DFT calculation with PBE was carried out for an optimized crystal structure of AlFeNi14.

For the calculated formation energy, the calculation gives -0.0861 eV per atom. The calculation puts the total energy at -5.91 eV per atom.

It has space group Amm2 (No. 38), with a = 8.1528 Å, b = 5.0291 Å, c = 8.6273 Å, α = 90.00°, β = 90.00° and γ = 90.00°. The inequivalent atoms are Al at (0.0000, 0.0000, 0.0000), Fe at (0.0000, 0.0000, 0.4989), Ni at (0.0000, 0.2492, 0.2508), Ni at (0.2493, 0.0000, 0.3319), Ni at (0.2495, 0.2488, 0.5816), Ni at (0.2512, 0.0000, 0.8313), Ni at (0.5000, 0.0000, 0.1634), Ni at (0.5000, 0.0000, 0.6634) and Ni at (0.5000, 0.2500, 0.4134).

=====

Record 2
A plane-wave DFT calculation with PBE was carried out for an optimized crystal structure of KP2Se.

The formation energy without anion corrections comes out at 1.8 meV/atom. The calculation puts the total energy at -3.85 eV per atom.

It has space group P4mm (No. 99), with a = 3.0869 Å, b = 3.0869 Å, c = 9.6676 Å, α = 90.00°, β = 90.00° and γ = 90.00°. The inequivalent atoms are K at (0.0000, 0.0000, 0.0000), P at (0.0000, 0.0000, 0.3684), P at (0.5000, 0.5000, 0.2666) and Se at (0.5000, 0.5000, 0.7455).

=====

Copy entry 1 word for word.
A plane-wave DFT calculation with PBE was carried out for an optimized crystal structure of AlFeNi14.

For the calculated formation energy, the calculation gives -0.0861 eV per atom. The calculation puts the total energy at -5.91 eV per atom.

It has space group Amm2 (No. 38), with a = 8.1528 Å, b = 5.0291 Å, c = 8.6273 Å, α = 90.00°, β = 90.00° and γ = 90.00°. The inequivalent atoms are Al at (0.0000, 0.0000, 0.0000), Fe at (0.0000, 0.0000, 0.4989), Ni at (0.0000, 0.2492, 0.2508), Ni at (0.2493, 0.0000, 0.3319), Ni at (0.2495, 0.2488, 0.5816), Ni at (0.2512, 0.0000, 0.8313), Ni at (0.5000, 0.0000, 0.1634), Ni at (0.5000, 0.0000, 0.6634) and Ni at (0.5000, 0.2500, 0.4134).